No. 1
Computed, not measured: a relaxed Na2MoPt crystal at the PBE level of DFT.

## Properties
Magnetization ... 17.2 μB/cell
Crystal system ... cubic
E_form ... 3.73 eV per formula unit

Cell lengths 6.816, 6.816, 6.816 Å; angles 90.00, 90.00, 90.00 degrees
Space group Fm-3m (No. 225)
One atom of each set of equivalent atoms:
Na: 0.250 0.250 0.250
Mo: 0.000 0.000 0.000
Pt: 0.000 0.000 0.500

=====

No. 2
Computed, not measured: a relaxed NaMoPt2 crystal at the PBE level of DFT.

## Properties
Magnetization ... 2.1 μB/cell
Crystal system ... cubic
E_form ... 0.66 eV per formula unit

Cell lengths 6.391, 6.391, 6.391 Å; angles 90.00, 90.00, 90.00 degrees
Space group Fm-3m (No. 225)
One atom of each set of equivalent atoms:
Na: 0.000 0.000 0.000
Mo: 0.000 0.000 0.500
Pt: 0.250 0.250 0.250

=====

No. 3
Computed, not measured: a relaxed NaMoPt3 crystal at the PBE level of DFT.

## Properties
Magnetization ... 0.0 μB/cell
Crystal system ... cubic
E_form ... 3.28 eV per formula unit

Cell lengths 4.882, 4.882, 4.882 Å; angles 90.00, 90.00, 90.00 degrees
Space group Pm-3m (No. 221)
One atom of each set of equivalent atoms:
Na: 0.000 0.000 0.000
Mo: 0.500 0.500 0.500
Pt: 0.000 0.500 0.500

=====

No. 4
Computed, not measured: a relaxed NaMo2Pt crystal at the PBE level of DFT.

## Properties
Magnetization ... 0.0 μB/cell
Crystal system ... trigonal
E_form ... 0.98 eV per formula unit

Cell lengths 4.5299, 4.5299, 23.0482 Å; angles 90.00, 90.00, 120.00 degrees
Space group R3m (No. 160, hexagonal axes)
One atom of each set of equivalent atoms:
Na: 0.0000 0.0000 0.0000
Na: 0.0000 0.0000 0.2626
Mo: 0.0000 0.0000 0.1296
Mo: 0.0000 0.0000 0.5058
Mo: 0.0000 0.0000 0.7579
Mo: 0.0000 0.0000 0.8628
Pt: 0.0000 0.0000 0.3905
Pt: 0.0000 0.0000 0.6206

=====

No. 5
Computed, not measured: a relaxed NaMo2Pt crystal at the PBE level of DFT.

## Properties
Magnetization ... 0.0 μB/cell
Crystal system ... monoclinic
E_form ... 0.07 eV per formula unit

Cell lengths 2.767, 4.319, 11.652 Å; angles 90.00, 94.96, 90.00 degrees
Space group P2_1/m (No. 11)
One atom of each set of equivalent atoms:
Na: 0.219 0.250 0.424
Mo: 0.063 0.250 0.163
Mo: 0.350 0.750 0.055
Pt: 0.353 0.250 0.717

=====

No. 6
Computed, not measured: a relaxed Na3MoPt crystal at the PBE level of DFT.

## Properties
Magnetization ... 5.0 μB/cell
Crystal system ... cubic
E_form ... 8.08 eV per formula unit

Cell lengths 5.601, 5.601, 5.601 Å; angles 90.00, 90.00, 90.00 degrees
Space group Pm-3m (No. 221)
One atom of each set of equivalent atoms:
Na: 0.000 0.000 0.500
Mo: 0.000 0.000 0.000
Pt: 0.500 0.500 0.500

=====

no.,distance to the lowest polymorph of the same formula (eV/atom)
1,0.035
2,0.000
3,0.000
4,0.228
5,0.000
6,0.576